[1]
A relaxed Mg2TlRu crystal. Source: the Alexandria database, functional GGA-PBE.

Unit cell a=3.035 b=4.755 c=5.266 alpha=90.00 beta=90.00 gamma=90.00
Element x y z (fractional)
Mg1 0.000 0.000 0.000
Mg2 0.000 0.500 0.331
Tl1 0.500 0.000 0.532
Ru1 0.500 0.500 0.857

Output
The polymorph energy (0 for the lowest one) comes out at 102 meV per atom. The formation energy comes out at 0.155 eV per atom. The calculation puts the density of states at the Fermi level at 1.72 states/eV/cell.

[2]
A relaxed LiLa2Hf crystal. Source: the Alexandria database, functional GGA-PBE.

Unit cell a=3.286 b=3.286 c=36.334 alpha=90.00 beta=90.00 gamma=120.00
Element x y z (fractional)
Li1 0.000 0.000 0.000
Li2 0.333 0.667 0.667
Li3 0.667 0.333 0.333
La1 0.000 0.000 0.417
La2 0.000 0.000 0.583
La3 0.333 0.667 0.083
La4 0.333 0.667 0.250
La5 0.667 0.333 0.750
La6 0.667 0.333 0.917
Hf1 0.000 0.000 0.500
Hf2 0.333 0.667 0.167
Hf3 0.667 0.333 0.833

Output
The polymorph energy (0 for the lowest one) comes out at 234 meV per atom. The formation energy comes out at 0.380 eV per atom. The calculation puts the density of states at the Fermi level at 14.91 states/eV/cell.

[3]
A relaxed PmY3 crystal. Source: the Alexandria database, functional GGA-PBE.

Unit cell a=8.098 b=8.098 c=8.098 alpha=90.00 beta=90.00 gamma=90.00
Element x y z (fractional)
Pm1 0.000 0.000 0.000
Pm2 0.000 0.500 0.500
Pm3 0.500 0.000 0.500
Pm4 0.500 0.500 0.000
Y1 0.000 0.000 0.500
Y2 0.000 0.500 0.000
Y3 0.250 0.250 0.250
Y4 0.250 0.250 0.750
Y5 0.250 0.750 0.250
Y6 0.250 0.750 0.750
Y7 0.500 0.000 0.000
Y8 0.500 0.500 0.500
Y9 0.750 0.250 0.250
Y10 0.750 0.250 0.750
Y11 0.750 0.750 0.250
Y12 0.750 0.750 0.750

Output
The polymorph energy (0 for the lowest one) comes out at 114 meV per atom. The formation energy comes out at 0.121 eV per atom. The calculation puts the density of states at the Fermi level at 36.50 states/eV/cell.

Question: Look up the polymorph energy (0 for the lowest one) of the third one.
Answer: 114 meV per atom

Question: Which of these has the lowest polymorph energy (0 for the lowest one)?
Answer: Mg2TlRu

Question: Among the records above, which one has the highest polymorph energy (0 for the lowest one)?
Answer: LiLa2Hf

Question: The highest polymorph energy (0 for the lowest one) belongs to which entry?
Answer: LiLa2Hf